LiYMnF6 after structural relaxation, computed with PBE with a Hubbard U.

Geometry as POSCAR:
```
LiYMnF6
1.0
5.440 0.000 0.000
-2.720 4.711 0.000
0.000 0.000 9.374
F Y Li Mn
12 2 2 2
direct
0.322 0.984 0.129
0.678 0.016 0.871
0.678 0.662 0.629
0.016 0.338 0.129
0.662 0.984 0.371
0.016 0.678 0.371
0.338 0.322 0.871
0.984 0.662 0.871
0.322 0.338 0.371
0.662 0.678 0.129
0.338 0.016 0.629
0.984 0.322 0.629
0.333 0.667 0.750
0.667 0.333 0.250
0.333 0.667 0.250
0.667 0.333 0.750
0.000 0.000 0.000
0.000 0.000 0.500
```

Properties
Its volume is 240.2 Å³ per cell. As for the size of the total moment: 5.000 μB/f.u. The crystal system is trigonal. The symmetry is P-31c, No. 163. The raw total energy comes out at -6.34 eV per atom.